No. 1
Computed, not measured: crystalline MnCdFe2 at its relaxed geometry at the PBE level of DFT.

Values from the calculation:
The value obtained for the calculated total energy is -6.40 eV per atom. The energy of formation from the pure elements comes out at 0.35 eV/atom.

a = 3.7835 Å, b = 3.7843 Å, c = 4.0264 Å
α = 90.00°, β = 90.00°, γ = 90.00°
Last column: nearest neighbours and their distance in Å.
Atoms (fractional coordinates):
1 Mn 0.5000 0.0000 0.5000  4 Cd 2.68, 8 Fe 2.76
2 Fe 0.5000 0.5000 0.0000  4 Fe 2.68, 4 Cd 2.76, 4 Mn 2.76
3 Fe 0.0000 0.0000 0.0000  4 Fe 2.68, 4 Mn 2.76, 4 Cd 2.76
4 Cd 0.0000 0.5000 0.5000  4 Mn 2.68, 8 Fe 2.76


No. 2
Computed, not measured: crystalline SiIrRh2 at its relaxed geometry at the PBE level of DFT.

Values from the calculation:
The value obtained for the calculated total energy is -7.44 eV per atom. The calculation puts the energy relative to the elements, uncorrected at -0.76 eV/f.u.

a = 2.7667 Å, b = 3.6321 Å, c = 5.5055 Å
α = 90.00°, β = 90.00°, γ = 90.00°
Last column: nearest neighbours and their distance in Å.
Atoms (fractional coordinates):
1 Ir 0.5000 0.5000 0.7394  6 Rh 2.62-2.88, 4 Si 2.64, 2 Ir 2.77
2 Rh 0.0000 0.0000 0.9996  4 Ir 2.70, 6 Rh 2.71-2.77, 2 Si 2.74-2.76
3 Rh 0.5000 0.5000 0.2632  2 Ir 2.62-2.88, 4 Si 2.62, 6 Rh 2.71-2.77
4 Si 0.0000 0.0000 0.4977  6 Rh 2.62-2.76, 4 Ir 2.64, 2 Si 2.77


No. 3
Computed, not measured: crystalline NaTlSb4 at its relaxed geometry at the PBE level of DFT.

Values from the calculation:
The value obtained for the calculated total energy is -3.41 eV per atom. The calculation puts the offset from the most stable computed form at 0.000 eV per atom. The calculation puts the energy relative to the elements, uncorrected at -0.29 eV/f.u.

a = 5.5303 Å, b = 5.5303 Å, c = 6.5355 Å
α = 90.00°, β = 90.00°, γ = 119.97°
Last column: nearest neighbours and their distance in Å.
Atoms (fractional coordinates):
1 Sb 0.6668 0.8332 0.7342  4 Sb 3.06-3.20
2 Sb 0.3332 0.1668 0.2658  4 Sb 3.06-3.20
3 Sb 0.3332 0.1668 0.7342  4 Sb 3.06-3.20
4 Sb 0.6668 0.8332 0.2658  4 Sb 3.06-3.20
5 Na 0.0000 0.5000 0.5000  2 Tl 3.27, 12 Sb 3.54
6 Tl 0.0000 0.5000 0.0000  2 Na 3.27, 12 Sb 3.63-3.64


No. 4
Computed, not measured: crystalline Sc2Be15Fe2 at its relaxed geometry at the PBE level of DFT.

Values from the calculation:
The value obtained for the calculated total energy is -4.70 eV per atom. The energy of formation from the pure elements comes out at -0.20 eV/atom.

a = 5.7188 Å, b = 5.7188 Å, c = 5.7188 Å
α = 83.92°, β = 83.92°, γ = 83.92°
Last column: nearest neighbours and their distance in Å.
Atoms (fractional coordinates):
1 Be 0.2845 0.0000 0.7155  8 Be 2.14-2.37
2 Be 0.7155 0.2845 0.0000  8 Be 2.14-2.37
3 Be 0.3410 0.8489 0.3410  8 Be 2.19-2.37, 1 Fe 2.33
4 Be 0.7155 0.0000 0.2845  8 Be 2.14-2.37
5 Be 0.3410 0.3410 0.8489  8 Be 2.19-2.37, 1 Fe 2.33
6 Be 0.6590 0.1511 0.6590  8 Be 2.19-2.37, 1 Fe 2.33
7 Be 0.6590 0.6590 0.1511  8 Be 2.19-2.37, 1 Fe 2.33
8 Be 0.2845 0.7155 0.0000  8 Be 2.14-2.37
9 Be 0.0000 0.2845 0.7155  8 Be 2.14-2.37
10 Be 0.8489 0.3410 0.3410  8 Be 2.19-2.37, 1 Fe 2.33
11 Be 0.0000 0.7155 0.2845  8 Be 2.14-2.37
12 Be 0.5000 0.0000 0.0000  8 Be 2.14-2.19, 2 Fe 2.33
13 Be 0.0000 0.5000 0.0000  8 Be 2.14-2.19, 2 Fe 2.33
14 Be 0.0000 0.0000 0.5000  8 Be 2.14-2.19, 2 Fe 2.33
15 Be 0.1511 0.6590 0.6590  8 Be 2.19-2.37, 1 Fe 2.33
16 Fe 0.0991 0.0991 0.0991  1 Fe 2.16, 6 Be 2.33
17 Fe 0.9009 0.9009 0.9009  1 Fe 2.16, 6 Be 2.33
18 Sc 0.6590 0.6590 0.6590  1 Fe 2.64, 18 Be 2.76-2.91
19 Sc 0.3410 0.3410 0.3410  1 Fe 2.64, 18 Be 2.76-2.91


Copy entry 4 word for word.
Computed, not measured: crystalline Sc2Be15Fe2 at its relaxed geometry at the PBE level of DFT.

Values from the calculation:
The value obtained for the calculated total energy is -4.70 eV per atom. The energy of formation from the pure elements comes out at -0.20 eV/atom.

a = 5.7188 Å, b = 5.7188 Å, c = 5.7188 Å
α = 83.92°, β = 83.92°, γ = 83.92°
Last column: nearest neighbours and their distance in Å.
Atoms (fractional coordinates):
1 Be 0.2845 0.0000 0.7155  8 Be 2.14-2.37
2 Be 0.7155 0.2845 0.0000  8 Be 2.14-2.37
3 Be 0.3410 0.8489 0.3410  8 Be 2.19-2.37, 1 Fe 2.33
4 Be 0.7155 0.0000 0.2845  8 Be 2.14-2.37
5 Be 0.3410 0.3410 0.8489  8 Be 2.19-2.37, 1 Fe 2.33
6 Be 0.6590 0.1511 0.6590  8 Be 2.19-2.37, 1 Fe 2.33
7 Be 0.6590 0.6590 0.1511  8 Be 2.19-2.37, 1 Fe 2.33
8 Be 0.2845 0.7155 0.0000  8 Be 2.14-2.37
9 Be 0.0000 0.2845 0.7155  8 Be 2.14-2.37
10 Be 0.8489 0.3410 0.3410  8 Be 2.19-2.37, 1 Fe 2.33
11 Be 0.0000 0.7155 0.2845  8 Be 2.14-2.37
12 Be 0.5000 0.0000 0.0000  8 Be 2.14-2.19, 2 Fe 2.33
13 Be 0.0000 0.5000 0.0000  8 Be 2.14-2.19, 2 Fe 2.33
14 Be 0.0000 0.0000 0.5000  8 Be 2.14-2.19, 2 Fe 2.33
15 Be 0.1511 0.6590 0.6590  8 Be 2.19-2.37, 1 Fe 2.33
16 Fe 0.0991 0.0991 0.0991  1 Fe 2.16, 6 Be 2.33
17 Fe 0.9009 0.9009 0.9009  1 Fe 2.16, 6 Be 2.33
18 Sc 0.6590 0.6590 0.6590  1 Fe 2.64, 18 Be 2.76-2.91
19 Sc 0.3410 0.3410 0.3410  1 Fe 2.64, 18 Be 2.76-2.91